<1>
Density functional theory data (PBE) for a geometry-optimized Re2W structure.

Computed properties:
Magnetization ... 0.001 μB per formula unit
Space group ... Cmcm

Cell: 5.1442 5.1442 8.3382 Å, 90.00 90.00 119.93°
With the nearest neighbours (Å) after each atom.
Fractional coordinates of all 12 atoms:
Re 0.6578 0.8244 0.2500  2 Re 2.48-2.67, 4 W 2.50-2.64
Re 0.3422 0.1756 0.7500  2 Re 2.48-2.67, 4 W 2.50-2.64
Re 0.6666 0.3334 0.4335  10 Re 2.97-3.17, 6 W 3.00-3.02
Re 0.8244 0.6578 0.7500  2 Re 2.48-2.67, 4 W 2.50-2.64
Re 0.3334 0.6666 0.9335  10 Re 2.97-3.17, 6 W 3.00-3.02
Re 0.1756 0.3422 0.2500  2 Re 2.48-2.67, 4 W 2.50-2.64
Re 0.3334 0.6666 0.5665  10 Re 2.97-3.17, 6 W 3.00-3.02
Re 0.6666 0.3334 0.0665  10 Re 2.97-3.17, 6 W 3.00-3.02
W 0.0000 0.0000 0.0000  4 Re 2.58, 2 W 2.59
W 0.1727 0.8273 0.2500  4 Re 2.50-2.64, 2 W 2.59
W 0.8273 0.1727 0.7500  4 Re 2.50-2.64, 2 W 2.59
W 0.0000 0.0000 0.5000  4 Re 2.58, 2 W 2.59

---

<2>
Density functional theory data (PBE) for a geometry-optimized Re2W structure.

Computed properties:
Magnetization ... 0.000 μB per formula unit
Space group ... P6_3/mmc

Cell: 5.1413 5.1413 16.6484 Å, 90.00 90.00 120.00°
With the nearest neighbours (Å) after each atom.
Fractional coordinates of all 24 atoms:
Re 0.5000 0.0000 0.0000  4 Re 2.57, 2 W 2.58
Re 0.5000 0.5000 0.0000  4 Re 2.57, 2 W 2.58
Re 0.1593 0.3186 0.2500  4 Re 2.46-2.68, 2 W 2.57
Re 0.0000 0.0000 0.4104  10 Re 2.97-3.02, 6 W 3.03-3.16
Re 0.3186 0.1593 0.7500  4 Re 2.46-2.68, 2 W 2.57
Re 0.6814 0.8407 0.2500  4 Re 2.46-2.68, 2 W 2.57
Re 0.8407 0.1593 0.7500  4 Re 2.46-2.68, 2 W 2.57
Re 0.8407 0.6814 0.7500  4 Re 2.46-2.68, 2 W 2.57
Re 0.0000 0.5000 0.0000  4 Re 2.57, 2 W 2.58
Re 0.0000 0.0000 0.0896  10 Re 2.97-3.02, 6 W 3.03-3.16
Re 0.0000 0.0000 0.9104  10 Re 2.97-3.02, 6 W 3.03-3.16
Re 0.0000 0.0000 0.5896  10 Re 2.97-3.02, 6 W 3.03-3.16
Re 0.5000 0.5000 0.5000  4 Re 2.57, 2 W 2.58
Re 0.0000 0.5000 0.5000  4 Re 2.57, 2 W 2.58
Re 0.5000 0.0000 0.5000  4 Re 2.57, 2 W 2.58
Re 0.1593 0.8407 0.2500  4 Re 2.46-2.68, 2 W 2.57
W 0.6667 0.3333 0.3451  12 Re 2.98-3.16, 4 W 3.01-3.17
W 0.3333 0.6667 0.3733  6 Re 2.57-2.58
W 0.3333 0.6667 0.8451  12 Re 2.98-3.16, 4 W 3.01-3.17
W 0.6667 0.3333 0.6267  6 Re 2.57-2.58
W 0.3333 0.6667 0.1267  6 Re 2.57-2.58
W 0.6667 0.3333 0.8733  6 Re 2.57-2.58
W 0.3333 0.6667 0.6549  12 Re 2.98-3.16, 4 W 3.01-3.17
W 0.6667 0.3333 0.1549  12 Re 2.98-3.16, 4 W 3.01-3.17

---

Verdict on stability: <2> comes out on top.

---

<1>
Density functional theory data (PBE) for a geometry-optimized Re2W structure.

Computed properties:
Magnetization ... 0.001 μB per formula unit
Space group ... P6_3/mmc

Cell: 5.1374 5.1374 16.6403 Å, 90.00 90.00 120.00°
With the nearest neighbours (Å) after each atom.
Fractional coordinates of all 24 atoms:
Re 0.3333 0.6667 0.6575  10 Re 2.99-3.08, 6 W 3.01-3.15
Re 0.1594 0.8406 0.2500  4 Re 2.46-2.68, 2 W 2.57
Re 0.5000 0.0000 0.5000  4 Re 2.57, 2 W 2.57
Re 0.3187 0.1594 0.7500  4 Re 2.46-2.68, 2 W 2.57
Re 0.0000 0.5000 0.5000  4 Re 2.57, 2 W 2.57
Re 0.6813 0.8406 0.2500  4 Re 2.46-2.68, 2 W 2.57
Re 0.5000 0.5000 0.0000  4 Re 2.57, 2 W 2.57
Re 0.5000 0.5000 0.5000  4 Re 2.57, 2 W 2.57
Re 0.8406 0.6813 0.7500  4 Re 2.46-2.68, 2 W 2.57
Re 0.5000 0.0000 0.0000  4 Re 2.57, 2 W 2.57
Re 0.0000 0.5000 0.0000  4 Re 2.57, 2 W 2.57
Re 0.6667 0.3333 0.1575  10 Re 2.99-3.08, 6 W 3.01-3.15
Re 0.6667 0.3333 0.3425  10 Re 2.99-3.08, 6 W 3.01-3.15
Re 0.1594 0.3187 0.2500  4 Re 2.46-2.68, 2 W 2.57
Re 0.3333 0.6667 0.8425  10 Re 2.99-3.08, 6 W 3.01-3.15
Re 0.8406 0.1594 0.7500  4 Re 2.46-2.68, 2 W 2.57
W 0.6667 0.3333 0.6264  6 Re 2.57
W 0.0000 0.0000 0.0933  12 Re 2.97-3.15, 4 W 3.02-3.10
W 0.3333 0.6667 0.3736  6 Re 2.57
W 0.0000 0.0000 0.5933  12 Re 2.97-3.15, 4 W 3.02-3.10
W 0.0000 0.0000 0.4067  12 Re 2.97-3.15, 4 W 3.02-3.10
W 0.3333 0.6667 0.1264  6 Re 2.57
W 0.6667 0.3333 0.8736  6 Re 2.57
W 0.0000 0.0000 0.9067  12 Re 2.97-3.15, 4 W 3.02-3.10

---

<2>
Density functional theory data (PBE) for a geometry-optimized Re2W structure.

Computed properties:
Magnetization ... 0.001 μB per formula unit
Space group ... P4_2/mnm

Cell: 9.6206 9.6206 5.0203 Å, 90.00 90.00 90.00°
With the nearest neighbours (Å) after each atom.
Fractional coordinates of all 30 atoms:
W 0.0000 0.0000 0.0000  12 Re 2.60-2.85
W 0.4639 0.1345 0.0000  5 Re 2.63-2.75, 1 W 2.68
W 0.0361 0.6345 0.5000  5 Re 2.63-2.75, 1 W 2.68
W 0.5000 0.5000 0.5000  12 Re 2.60-2.85
W 0.5361 0.8655 0.0000  5 Re 2.63-2.75, 1 W 2.68
W 0.1345 0.4639 0.0000  5 Re 2.63-2.75, 1 W 2.68
W 0.9639 0.3655 0.5000  5 Re 2.63-2.75, 1 W 2.68
W 0.8655 0.5361 0.0000  5 Re 2.63-2.75, 1 W 2.68
W 0.3655 0.9639 0.5000  5 Re 2.63-2.75, 1 W 2.68
W 0.6345 0.0361 0.5000  5 Re 2.63-2.75, 1 W 2.68
Re 0.8166 0.8166 0.7498  4 Re 2.51-2.75, 1 W 2.79
Re 0.3166 0.6834 0.7502  4 Re 2.51-2.75, 1 W 2.79
Re 0.6834 0.3166 0.7502  4 Re 2.51-2.75, 1 W 2.79
Re 0.9321 0.2614 0.0000  5 W 2.60-2.75, 5 Re 2.63-2.83
Re 0.8166 0.8166 0.2502  4 Re 2.51-2.75, 1 W 2.79
Re 0.7386 0.0679 0.0000  5 W 2.60-2.75, 5 Re 2.63-2.83
Re 0.2614 0.9321 0.0000  5 W 2.60-2.75, 5 Re 2.63-2.83
Re 0.5991 0.5991 0.0000  4 W 2.63-2.85, 1 Re 2.70
Re 0.6834 0.3166 0.2498  4 Re 2.51-2.75, 1 W 2.79
Re 0.0991 0.9009 0.5000  4 W 2.63-2.85, 1 Re 2.70
Re 0.4009 0.4009 0.0000  4 W 2.63-2.85, 1 Re 2.70
Re 0.1834 0.1834 0.7498  4 Re 2.51-2.75, 1 W 2.79
Re 0.5679 0.7614 0.5000  5 W 2.60-2.75, 5 Re 2.63-2.83
Re 0.3166 0.6834 0.2498  4 Re 2.51-2.75, 1 W 2.79
Re 0.2386 0.4321 0.5000  5 W 2.60-2.75, 5 Re 2.63-2.83
Re 0.4321 0.2386 0.5000  5 W 2.60-2.75, 5 Re 2.63-2.83
Re 0.7614 0.5679 0.5000  5 W 2.60-2.75, 5 Re 2.63-2.83
Re 0.9009 0.0991 0.5000  4 W 2.63-2.85, 1 Re 2.70
Re 0.0679 0.7386 0.0000  5 W 2.60-2.75, 5 Re 2.63-2.83
Re 0.1834 0.1834 0.2502  4 Re 2.51-2.75, 1 W 2.79

---

<3>
Density functional theory data (PBE) for a geometry-optimized Re2W structure.

Computed properties:
Magnetization ... 0.000 μB per formula unit
Space group ... Fd-3m

Cell: 5.1205 5.1205 5.1205 Å, 60.00 60.00 60.00°
With the nearest neighbours (Å) after each atom.
Fractional coordinates of all 6 atoms:
W 0.7500 0.7500 0.7500  12 Re 3.00, 4 W 3.14
W 0.5000 0.5000 0.5000  12 Re 3.00, 4 W 3.14
Re 0.1250 0.1250 0.1250  6 Re 2.56
Re 0.1250 0.6250 0.1250  6 Re 2.56
Re 0.1250 0.1250 0.6250  6 Re 2.56
Re 0.6250 0.1250 0.1250  6 Re 2.56

---

Verdict on stability: <2> comes out on top.

---

<1>
Density functional theory data (PBE) for a geometry-optimized Re2W structure.

Computed properties:
Magnetization ... 0.004 μB per formula unit
Space group ... P6_3/mmc

Cell: 5.1208 5.1208 16.6971 Å, 90.00 90.00 120.00°
With the nearest neighbours (Å) after each atom.
Fractional coordinates of all 24 atoms:
Re 0.1601 0.8399 0.2500  6 Re 2.46-2.66
Re 0.3333 0.6667 0.1272  6 Re 2.56-2.59
Re 0.8399 0.1601 0.7500  6 Re 2.46-2.66
Re 0.8399 0.6798 0.7500  6 Re 2.46-2.66
Re 0.5000 0.0000 0.5000  6 Re 2.56-2.59
Re 0.0000 0.5000 0.0000  6 Re 2.56-2.59
Re 0.5000 0.5000 0.0000  6 Re 2.56-2.59
Re 0.3333 0.6667 0.3728  6 Re 2.56-2.59
Re 0.6798 0.8399 0.2500  6 Re 2.46-2.66
Re 0.0000 0.5000 0.5000  6 Re 2.56-2.59
Re 0.3202 0.1601 0.7500  6 Re 2.46-2.66
Re 0.5000 0.0000 0.0000  6 Re 2.56-2.59
Re 0.5000 0.5000 0.5000  6 Re 2.56-2.59
Re 0.6667 0.3333 0.6272  6 Re 2.56-2.59
Re 0.6667 0.3333 0.8728  6 Re 2.56-2.59
Re 0.1601 0.3202 0.2500  6 Re 2.46-2.66
W 0.0000 0.0000 0.4085  12 Re 2.98-3.02, 4 W 3.06-3.15
W 0.3333 0.6667 0.6559  12 Re 2.99-3.00, 4 W 3.14-3.15
W 0.0000 0.0000 0.9085  12 Re 2.98-3.02, 4 W 3.06-3.15
W 0.3333 0.6667 0.8441  12 Re 2.99-3.00, 4 W 3.14-3.15
W 0.0000 0.0000 0.5915  12 Re 2.98-3.02, 4 W 3.06-3.15
W 0.6667 0.3333 0.3441  12 Re 2.99-3.00, 4 W 3.14-3.15
W 0.0000 0.0000 0.0915  12 Re 2.98-3.02, 4 W 3.06-3.15
W 0.6667 0.3333 0.1559  12 Re 2.99-3.00, 4 W 3.14-3.15

---

<2>
Density functional theory data (PBE) for a geometry-optimized Re2W structure.

Computed properties:
Magnetization ... 0.001 μB per formula unit
Space group ... Cmcm

Cell: 5.1293 5.1293 8.3583 Å, 90.00 90.00 119.85°
With the nearest neighbours (Å) after each atom.
Fractional coordinates of all 12 atoms:
Re 0.3329 0.6671 0.0643  6 W 2.99-3.01, 10 Re 2.99-3.16
Re 0.6671 0.3329 0.5643  6 W 2.99-3.01, 10 Re 2.99-3.16
Re 0.1710 0.8290 0.7500  4 W 2.50-2.63, 2 Re 2.58
Re 0.8290 0.1710 0.2500  4 W 2.50-2.63, 2 Re 2.58
Re 0.0000 0.0000 0.5000  4 W 2.58, 2 Re 2.58
Re 0.0000 0.0000 0.0000  4 W 2.58, 2 Re 2.58
Re 0.3329 0.6671 0.4357  6 W 2.99-3.01, 10 Re 2.99-3.16
Re 0.6671 0.3329 0.9357  6 W 2.99-3.01, 10 Re 2.99-3.16
W 0.1688 0.3407 0.7500  4 Re 2.50-2.63, 2 W 2.52-2.62
W 0.8312 0.6593 0.2500  4 Re 2.50-2.63, 2 W 2.52-2.62
W 0.6593 0.8312 0.7500  4 Re 2.50-2.63, 2 W 2.52-2.62
W 0.3407 0.1688 0.2500  4 Re 2.50-2.63, 2 W 2.52-2.62

---

Verdict on stability: <1> comes out on top.

---

<1>
Density functional theory data (PBE) for a geometry-optimized Re2W3 structure.

Computed properties:
Magnetization ... 0.003 μB per formula unit
Space group ... P4_2/mnm

Cell: 9.6646 9.6646 5.1064 Å, 90.00 90.00 90.00°
With the nearest neighbours (Å) after each atom.
Fractional coordinates of all 30 atoms:
W 0.6357 0.9618 0.0000  1 Re 2.66, 5 W 2.73-2.77
W 0.5000 0.5000 0.0000  4 W 2.60, 8 Re 2.83-2.87
W 0.2610 0.0651 0.5000  6 W 2.60-2.77, 4 Re 2.78-2.83
W 0.9349 0.7390 0.5000  6 W 2.60-2.77, 4 Re 2.78-2.83
W 0.7390 0.9349 0.5000  6 W 2.60-2.77, 4 Re 2.78-2.83
W 0.1357 0.5382 0.5000  1 Re 2.66, 5 W 2.73-2.77
W 0.5382 0.1357 0.5000  1 Re 2.66, 5 W 2.73-2.77
W 0.5651 0.2390 0.0000  6 W 2.60-2.77, 4 Re 2.78-2.83
W 0.8643 0.4618 0.5000  1 Re 2.66, 5 W 2.73-2.77
W 0.3643 0.0382 0.0000  1 Re 2.66, 5 W 2.73-2.77
W 0.7610 0.4349 0.0000  6 W 2.60-2.77, 4 Re 2.78-2.83
W 0.0382 0.3643 0.0000  1 Re 2.66, 5 W 2.73-2.77
W 0.4349 0.7610 0.0000  6 W 2.60-2.77, 4 Re 2.78-2.83
W 0.0000 0.0000 0.5000  4 W 2.60, 8 Re 2.83-2.87
W 0.9618 0.6357 0.0000  1 Re 2.66, 5 W 2.73-2.77
W 0.2390 0.5651 0.0000  6 W 2.60-2.77, 4 Re 2.78-2.83
W 0.0651 0.2610 0.5000  6 W 2.60-2.77, 4 Re 2.78-2.83
W 0.4618 0.8643 0.5000  1 Re 2.66, 5 W 2.73-2.77
Re 0.3153 0.3153 0.2522  2 Re 2.53-2.58, 5 W 2.78-2.83
Re 0.6847 0.6847 0.2522  2 Re 2.53-2.58, 5 W 2.78-2.83
Re 0.4046 0.5954 0.5000  1 Re 2.61, 4 W 2.66-2.87
Re 0.8153 0.1847 0.7522  2 Re 2.53-2.58, 5 W 2.78-2.83
Re 0.1847 0.8153 0.2478  2 Re 2.53-2.58, 5 W 2.78-2.83
Re 0.1847 0.8153 0.7522  2 Re 2.53-2.58, 5 W 2.78-2.83
Re 0.8153 0.1847 0.2478  2 Re 2.53-2.58, 5 W 2.78-2.83
Re 0.5954 0.4046 0.5000  1 Re 2.61, 4 W 2.66-2.87
Re 0.0954 0.0954 0.0000  1 Re 2.61, 4 W 2.66-2.87
Re 0.3153 0.3153 0.7478  2 Re 2.53-2.58, 5 W 2.78-2.83
Re 0.6847 0.6847 0.7478  2 Re 2.53-2.58, 5 W 2.78-2.83
Re 0.9046 0.9046 0.0000  1 Re 2.61, 4 W 2.66-2.87

---

<2>
Density functional theory data (PBE) for a geometry-optimized Re2W3 structure.

Computed properties:
Magnetization ... 0.001 μB per formula unit
Space group ... P4_2/mnm

Cell: 9.6791 9.6791 5.0674 Å, 90.00 90.00 90.00°
With the nearest neighbours (Å) after each atom.
Fractional coordinates of all 30 atoms:
W 0.4639 0.1333 0.0000  5 Re 2.66-2.76, 1 W 2.67
W 0.6836 0.3164 0.2502  3 W 2.53-2.81, 2 Re 2.78
W 0.6836 0.3164 0.7498  3 W 2.53-2.81, 2 Re 2.78
W 0.9639 0.3667 0.5000  5 Re 2.66-2.76, 1 W 2.67
W 0.0361 0.6333 0.5000  5 Re 2.66-2.76, 1 W 2.67
W 0.1836 0.1836 0.2498  3 W 2.53-2.81, 2 Re 2.78
W 0.8164 0.8164 0.7502  3 W 2.53-2.81, 2 Re 2.78
W 0.3667 0.9639 0.5000  5 Re 2.66-2.76, 1 W 2.67
W 0.0000 0.0000 0.0000  8 Re 2.61-2.88, 4 W 2.81
W 0.1836 0.1836 0.7502  3 W 2.53-2.81, 2 Re 2.78
W 0.3164 0.6836 0.2502  3 W 2.53-2.81, 2 Re 2.78
W 0.5361 0.8667 0.0000  5 Re 2.66-2.76, 1 W 2.67
W 0.3164 0.6836 0.7498  3 W 2.53-2.81, 2 Re 2.78
W 0.8164 0.8164 0.2498  3 W 2.53-2.81, 2 Re 2.78
W 0.1333 0.4639 0.0000  5 Re 2.66-2.76, 1 W 2.67
W 0.6333 0.0361 0.5000  5 Re 2.66-2.76, 1 W 2.67
W 0.5000 0.5000 0.5000  8 Re 2.61-2.88, 4 W 2.81
W 0.8667 0.5361 0.0000  5 Re 2.66-2.76, 1 W 2.67
Re 0.9006 0.0994 0.5000  4 W 2.66-2.88, 1 Re 2.72
Re 0.4325 0.2392 0.5000  9 W 2.61-2.84, 1 Re 2.65
Re 0.7392 0.0675 0.0000  9 W 2.61-2.84, 1 Re 2.65
Re 0.2392 0.4325 0.5000  9 W 2.61-2.84, 1 Re 2.65
Re 0.7608 0.5675 0.5000  9 W 2.61-2.84, 1 Re 2.65
Re 0.5675 0.7608 0.5000  9 W 2.61-2.84, 1 Re 2.65
Re 0.0675 0.7392 0.0000  9 W 2.61-2.84, 1 Re 2.65
Re 0.9325 0.2608 0.0000  9 W 2.61-2.84, 1 Re 2.65
Re 0.5994 0.5994 0.0000  4 W 2.66-2.88, 1 Re 2.72
Re 0.2608 0.9325 0.0000  9 W 2.61-2.84, 1 Re 2.65
Re 0.0994 0.9006 0.5000  4 W 2.66-2.88, 1 Re 2.72
Re 0.4006 0.4006 0.0000  4 W 2.66-2.88, 1 Re 2.72

---

Verdict on stability: <2> comes out on top.